VASP calculation (PBE) on crystalline Ba2SrTl at its relaxed geometry.

Cell and atoms, written as POSCAR:
```
Ba2SrTl
1.0
4.336 0.000 0.000
0.000 6.492 0.000
0.000 0.000 13.835
Ba Sr Tl
4 2 2
direct
0.000 0.000 0.000
0.000 0.500 0.196
0.500 0.000 0.696
0.500 0.500 0.500
0.000 0.500 0.800
0.500 0.000 0.300
0.000 0.000 0.491
0.500 0.500 0.991
```

Properties
VASP energy ... -2.18 eV per atom
Total magnetic moment ... 0.0 μB per formula unit
Formation energy ... -0.20 eV per atom
SG ... No. 44
Offset from the most stable computed form ... 16.5 meV/atom